This record from Alexandria describes an optimized crystal structure of YScNbN2. The functional is GGA-PBE.

Unit cell a=4.340 b=5.545 c=4.340 alpha=90.00 beta=90.00 gamma=90.00
Positions (direct):
N 0.500 0.000 0.000
N 0.000 0.000 0.500
Y 0.000 0.000 0.000
Sc 0.000 0.500 0.000
Nb 0.500 0.500 0.500

Summary:
DOS(E_F), states/eV/cell: 5.8
Size of the total moment, μB/atom: 0.14
Crystal system: tetragonal
Energy relative to the elements, uncorrected, eV per atom: 1.557